1.
Entry from the Alexandria database: Ta2TlP after structural relaxation (PBE-GGA).

Structure (POSCAR):
```
Ta2TlP
1.0
-1.0225 -4.6405 -0.1701
-3.5457 -1.7515 2.6398
-4.0108 -1.4759 -2.0842
Ta Tl P
2 1 1
direct
0.0000 0.0000 0.0000
0.7500 0.7500 0.7500
0.2500 0.2500 0.2500
0.5000 0.5000 0.5000
```

Energy (eV per atom): -7.118
Magnetization (μB/cell): 0.000
Offset from the most stable computed form (meV/atom): 817.4
Density of states at the Fermi level (states/eV/cell): 4.95
Symmetry: F-43m
DFT formation energy (eV per formula unit): 3.01



2.
Entry from the Alexandria database: Tb2ZrO5 after structural relaxation (PBE-GGA).

Structure (POSCAR):
```
Tb2ZrO5
1.0
6.0450 0.0000 0.0000
0.0000 6.6356 0.0000
0.0000 0.0000 9.7399
Tb Zr O
8 4 20
direct
0.4825 0.5013 0.8251
0.5175 0.4987 0.1749
0.9825 0.4987 0.6749
0.5175 0.0013 0.1749
0.0175 0.5013 0.3251
0.4825 0.9987 0.8251
0.0175 0.9987 0.3251
0.9825 0.0013 0.6749
0.4381 0.2500 0.5055
0.5619 0.7500 0.4945
0.9381 0.7500 0.9945
0.0619 0.2500 0.0055
0.0582 0.2500 0.5041
0.9418 0.7500 0.4959
0.5582 0.7500 0.9959
0.4418 0.2500 0.0041
0.3463 0.9719 0.5953
0.6537 0.0281 0.4047
0.8463 0.0281 0.9047
0.6537 0.4719 0.4047
0.1537 0.9719 0.0953
0.3463 0.5281 0.5953
0.1537 0.5281 0.0953
0.8463 0.4719 0.9047
0.1882 0.2500 0.7929
0.8118 0.7500 0.2071
0.6882 0.7500 0.7071
0.3118 0.2500 0.2929
0.6667 0.2500 0.6848
0.3333 0.7500 0.3152
0.1667 0.7500 0.8152
0.8333 0.2500 0.1848
```

Energy (eV per atom): -8.793
Magnetization (μB/cell): 0.000
Density of states at the Fermi level (states/eV/cell): 0.00
Raw formation energy (eV per atom): -3.47
Symmetry: Pnma



3.
Entry from the Alexandria database: KV2TePt after structural relaxation (PBE-GGA).

Structure (POSCAR):
```
KV2TePt
1.0
4.3420 0.0000 0.0000
0.0000 5.3385 0.0000
0.0000 0.0000 4.3420
K Te Pt V
1 1 1 2
direct
0.0000 0.0000 0.0000
0.5000 0.5000 0.5000
0.0000 0.5000 0.0000
0.0000 0.0000 0.5000
0.5000 0.0000 0.0000
```

Energy (eV per atom): -3.486
Magnetization (μB/cell): 0.001
Density of states at the Fermi level (states/eV/cell): 7.24
Raw formation energy (eV per atom): 2.22
Symmetry: P4/mmm



- energy of number 1 (Ta2TlP)?
  -7.118 eV per atom



- Look up the magnetization of the second one.
  0.000 μB/cell



- What is the formula in the second record?
  Tb2ZrO5